Record 1
# Ba2CuSn2F14 | Alexandria | PBE | optimized geometry
data_Ba2CuSn2F14
_cell_length_a 14.7088
_cell_length_b 5.5648
_cell_length_c 15.8831
_cell_angle_alpha 90.00
_cell_angle_beta 90.27
_cell_angle_gamma 90.00
_symmetry_space_group_name_H-M 'C 1 2/c 1'
_symmetry_Int_Tables_number 15
_symmetry_space_group_name_Hall '-C 2yc'
loop_
_atom_site_label
_atom_site_fract_x
_atom_site_fract_y
_atom_site_fract_z
_atom_site_occupancy
Ba1 0.1706 0.0922 0.1321 1
Cu1 0.0000 0.5000 0.0000 1
Sn1 0.1264 0.0422 0.3745 1
F1 0.0014 0.0754 0.8555 1
F2 0.0575 0.4264 0.0991 1
F3 0.0850 0.2194 0.4806 1
F4 0.1173 0.2917 0.2863 1
F5 0.1576 0.2299 0.9540 1
F6 0.1859 0.1639 0.7849 1
F7 0.2489 0.3326 0.5981 1
# mass density: 4.30 g cm⁻³
# M_tot: 0.06 μB per atom
# E: -5.0096 eV per atom

Record 2
# BaSr2CuF8 | Alexandria | PBE | optimized geometry
data_BaSr2CuF8
_cell_length_a 4.2910
_cell_length_b 5.8846
_cell_length_c 8.2693
_cell_angle_alpha 83.27
_cell_angle_beta 87.77
_cell_angle_gamma 84.54
_symmetry_space_group_name_H-M 'P -1'
_symmetry_Int_Tables_number 2
_symmetry_space_group_name_Hall '-P 1'
loop_
_atom_site_label
_atom_site_fract_x
_atom_site_fract_y
_atom_site_fract_z
_atom_site_occupancy
Ba1 0.0000 0.0000 0.0000 1
Sr1 0.4826 0.4725 0.2611 1
Cu1 0.0000 0.0000 0.5000 1
F1 0.0395 0.3403 0.7648 1
F2 0.0619 0.1674 0.2919 1
F3 0.3604 0.7718 0.4758 1
F4 0.4881 0.2644 0.0173 1
# mass density: 4.25 g cm⁻³
# M_tot: 0.08 μB per atom
# E: -5.3112 eV per atom

Record 3
# BaTbCu2F8 | Alexandria | PBE | optimized geometry
data_BaTbCu2F8
_cell_length_a 5.9266
_cell_length_b 5.9266
_cell_length_c 7.6317
_cell_angle_alpha 90.00
_cell_angle_beta 90.00
_cell_angle_gamma 120.00
_symmetry_space_group_name_H-M 'P -3 m 1'
_symmetry_Int_Tables_number 164
_symmetry_space_group_name_Hall '-P 3 2"'
loop_
_atom_site_label
_atom_site_fract_x
_atom_site_fract_y
_atom_site_fract_z
_atom_site_occupancy
Ba1 0.0000 0.0000 0.0000 1
Tb1 0.0000 0.0000 0.5000 1
Cu1 0.3333 0.6667 0.1902 1
F1 0.1555 0.3111 0.3028 1
F2 0.3333 0.6667 0.9440 1
# mass density: 4.12 g cm⁻³
# M_tot: 0.08 μB per atom
# E: -5.2108 eV per atom

Record 4
# BaCuTeF | Alexandria | PBE | optimized geometry
data_BaCuTeF
_cell_length_a 4.4469
_cell_length_b 4.4469
_cell_length_c 9.5274
_cell_angle_alpha 90.00
_cell_angle_beta 90.00
_cell_angle_gamma 90.00
_symmetry_space_group_name_H-M 'P 4/n m m'
_symmetry_Int_Tables_number 129
loop_
_symmetry_equiv_pos_as_xyz
'x,y,z'
'-x,-y,-z'
'-y+1/2,x,z'
'y+1/2,-x,-z'
'-x+1/2,-y+1/2,z'
'x+1/2,y+1/2,-z'
'y,-x+1/2,z'
'-y,x+1/2,-z'
'x+1/2,-y,-z'
'-x+1/2,y,z'
'-y,-x,-z'
'y,x,z'
'-x,y+1/2,-z'
'x,-y+1/2,z'
'y+1/2,x+1/2,-z'
'-y+1/2,-x+1/2,z'
loop_
_atom_site_label
_atom_site_fract_x
_atom_site_fract_y
_atom_site_fract_z
_atom_site_occupancy
Ba1 0.2500 0.2500 0.1589 1
Cu1 0.2500 0.7500 0.5000 1
Te1 0.2500 0.2500 0.6593 1
F1 0.2500 0.7500 0.0000 1
# mass density: 6.12 g cm⁻³
# M_tot: 0.00 μB per atom
# E: -4.6787 eV per atom

Record 5
# Ba2CuTe2F | Alexandria | PBE | optimized geometry
data_Ba2CuTe2F
_cell_length_a 3.8605
_cell_length_b 3.8605
_cell_length_c 16.3605
_cell_angle_alpha 90.00
_cell_angle_beta 90.00
_cell_angle_gamma 90.00
_symmetry_space_group_name_H-M 'P 4/m m m'
_symmetry_Int_Tables_number 123
_symmetry_space_group_name_Hall '-P 4 2'
loop_
_atom_site_label
_atom_site_fract_x
_atom_site_fract_y
_atom_site_fract_z
_atom_site_occupancy
Ba1 0.0000 0.0000 0.1498 1
Cu1 0.0000 0.0000 0.5000 1
Te1 0.0000 0.0000 0.3525 1
F1 0.0000 0.0000 0.0000 1
# mass density: 4.17 g cm⁻³
# M_tot: 0.00 μB per atom
# E: -3.3737 eV per atom

Record 6
# Ba2Ti2CuF14 | Alexandria | PBE | optimized geometry
data_Ba2Ti2CuF14
_cell_length_a 14.4660
_cell_length_b 5.4208
_cell_length_c 15.4115
_cell_angle_alpha 90.00
_cell_angle_beta 90.03
_cell_angle_gamma 90.00
_symmetry_space_group_name_H-M 'C 1 2/c 1'
_symmetry_Int_Tables_number 15
_symmetry_space_group_name_Hall '-C 2yc'
loop_
_atom_site_label
_atom_site_fract_x
_atom_site_fract_y
_atom_site_fract_z
_atom_site_occupancy
Ba1 0.1720 0.0770 0.1261 1
Ti1 0.1270 0.0295 0.3723 1
Cu1 0.0000 0.5000 0.0000 1
F1 0.0070 0.0698 0.8518 1
F2 0.0622 0.4410 0.1015 1
F3 0.0832 0.2055 0.4751 1
F4 0.1233 0.2807 0.2919 1
F5 0.1532 0.2434 0.9497 1
F6 0.1825 0.1705 0.7854 1
F7 0.2467 0.1413 0.4060 1
# mass density: 3.85 g cm⁻³
# M_tot: 0.06 μB per atom
# E: -5.9050 eV per atom

Record 7
# BaTiCu2F | Alexandria | PBE | optimized geometry
data_BaTiCu2F
_cell_length_a 5.4038
_cell_length_b 5.4038
_cell_length_c 5.6345
_cell_angle_alpha 90.00
_cell_angle_beta 90.00
_cell_angle_gamma 90.00
_symmetry_space_group_name_H-M 'P 4/m m m'
_symmetry_Int_Tables_number 123
_symmetry_space_group_name_Hall '-P 4 2'
loop_
_atom_site_label
_atom_site_fract_x
_atom_site_fract_y
_atom_site_fract_z
_atom_site_occupancy
Ba1 0.0000 0.0000 0.0000 1
Ti1 0.0000 0.0000 0.5000 1
Cu1 0.0000 0.5000 0.0000 1
F1 0.5000 0.5000 0.5000 1
# mass density: 3.34 g cm⁻³
# M_tot: 0.00 μB per atom
# E: -2.4644 eV per atom

Record 8
# BaTl2CuF6 | Alexandria | PBE | optimized geometry
data_BaTl2CuF6
_cell_length_a 6.4981
_cell_length_b 5.9535
_cell_length_c 11.6798
_cell_angle_alpha 90.00
_cell_angle_beta 119.05
_cell_angle_gamma 90.00
_symmetry_space_group_name_H-M 'P 1 21/c 1'
_symmetry_Int_Tables_number 14
_symmetry_space_group_name_Hall '-P 2ybc'
loop_
_atom_site_label
_atom_site_fract_x
_atom_site_fract_y
_atom_site_fract_z
_atom_site_occupancy
Ba1 0.0000 0.0000 0.0000 1
Tl1 0.3026 0.0276 0.7699 1
Cu1 0.5000 0.0000 0.5000 1
F1 0.2295 0.1530 0.4876 1
F2 0.3216 0.0189 0.2448 1
F3 0.3550 0.7139 0.4995 1
# mass density: 6.08 g cm⁻³
# M_tot: 0.10 μB per atom
# E: -4.4822 eV per atom

Record 9
# BaTl2Cu2F7 | Alexandria | PBE | optimized geometry
data_BaTl2Cu2F7
_cell_length_a 5.9635
_cell_length_b 5.9622
_cell_length_c 11.4981
_cell_angle_alpha 90.00
_cell_angle_beta 104.96
_cell_angle_gamma 90.00
_symmetry_space_group_name_H-M 'C 1 2/m 1'
_symmetry_Int_Tables_number 12
_symmetry_space_group_name_Hall '-C 2y'
loop_
_atom_site_label
_atom_site_fract_x
_atom_site_fract_y
_atom_site_fract_z
_atom_site_occupancy
Ba1 0.0000 0.0000 0.0000 1
Tl1 0.1872 0.0000 0.3718 1
Cu1 0.0975 0.5000 0.1954 1
F1 0.0000 0.5000 0.0000 1
F2 0.1652 0.2499 0.8299 1
F3 0.1885 0.5000 0.3827 1
# mass density: 6.78 g cm⁻³
# M_tot: 0.08 μB per atom
# E: -4.4546 eV per atom

Record 10
# Ba2TmCu3F12 | Alexandria | PBE | optimized geometry
data_Ba2TmCu3F12
_cell_length_a 6.6101
_cell_length_b 6.6101
_cell_length_c 22.4791
_cell_angle_alpha 90.00
_cell_angle_beta 90.00
_cell_angle_gamma 120.00
_symmetry_space_group_name_H-M 'R -3 m'
_symmetry_Int_Tables_number 166
_symmetry_space_group_name_Hall '-R 3 2"'
loop_
_atom_site_label
_atom_site_fract_x
_atom_site_fract_y
_atom_site_fract_z
_atom_site_occupancy
Ba1 0.0000 0.0000 0.1155 1
Tm1 0.0000 0.0000 0.5000 1
Cu1 0.0000 0.5000 0.0000 1
F1 0.0033 0.5017 0.1231 1
F2 0.0366 0.5183 0.3665 1
# mass density: 5.05 g cm⁻³
# M_tot: 0.11 μB per atom
# E: -5.1124 eV per atom

Record 11
# BaTmCu2F8 | Alexandria | PBE | optimized geometry
data_BaTmCu2F8
_cell_length_a 5.9208
_cell_length_b 5.9208
_cell_length_c 7.5405
_cell_angle_alpha 90.00
_cell_angle_beta 90.00
_cell_angle_gamma 120.00
_symmetry_space_group_name_H-M 'P -3 m 1'
_symmetry_Int_Tables_number 164
_symmetry_space_group_name_Hall '-P 3 2"'
loop_
_atom_site_label
_atom_site_fract_x
_atom_site_fract_y
_atom_site_fract_z
_atom_site_occupancy
Ba1 0.0000 0.0000 0.0000 1
Tm1 0.0000 0.0000 0.5000 1
Cu1 0.3333 0.6667 0.1997 1
F1 0.1538 0.3076 0.3087 1
F2 0.3333 0.6667 0.9501 1
# mass density: 4.25 g cm⁻³
# M_tot: 0.08 μB per atom
# E: -5.2213 eV per atom